1.
Crystalline V5IrPt4 at its relaxed geometry. Source: Alexandria, functional GGA-PBE.

abc: 2.714 2.714 19.328
angles: 90.00 90.00 90.00
Fractional positions:
Pt 0.000 0.000 0.601
Pt 0.000 0.000 0.199
Pt 0.000 0.000 0.399
Pt 0.000 0.000 0.801
Ir 0.000 0.000 0.000
V 0.500 0.500 0.500
V 0.500 0.500 0.702
V 0.500 0.500 0.096
V 0.500 0.500 0.298
V 0.500 0.500 0.904

Computed properties:
**DFT total energy**: -8.422 eV/atom
**N(E_F)**: 6.5 states/eV/f.u.

---

2.
Crystalline V2Ir3Pt2 at its relaxed geometry. Source: Alexandria, functional GGA-PBE.

abc: 6.835 5.460 6.835
angles: 105.46 113.18 105.45
Fractional positions:
Pt 0.337 0.774 0.761
Pt 0.239 0.512 0.075
Pt 0.500 0.963 0.500
Pt 0.925 0.937 0.664
V 0.780 0.255 0.925
V 0.075 0.830 0.355
V 0.500 0.472 0.500
V 0.645 0.975 0.220
Ir 0.248 0.031 0.112
Ir 0.888 0.418 0.635
Ir 0.668 0.479 0.218
Ir 0.364 0.283 0.752
Ir 0.782 0.761 0.951
Ir 0.049 0.310 0.332

Computed properties:
**DFT total energy**: -8.450 eV/atom
**N(E_F)**: 6.7 states/eV/f.u.

---

3.
Crystalline V2IrPt2 at its relaxed geometry. Source: Alexandria, functional GGA-PBE.

abc: 4.431 4.431 4.794
angles: 89.98 89.98 118.77
Fractional positions:
Pt 0.168 0.832 0.500
Pt 0.832 0.168 0.500
V 0.500 0.500 0.738
V 0.500 0.500 0.262
Ir 0.000 0.000 0.000

Computed properties:
**N(E_F)**: 3.9 states/eV/f.u.
**Polymorph energy (0 for the lowest one)**: 475 meV per atom

---

4.
Crystalline V2IrPt at its relaxed geometry. Source: Alexandria, functional GGA-PBE.

abc: 2.729 2.729 7.592
angles: 90.00 90.00 90.00
Fractional positions:
Ir 0.500 0.500 0.500
Pt 0.500 0.500 0.000
V 0.000 0.000 0.258
V 0.000 0.000 0.742

Computed properties:
**DFT total energy**: -8.836 eV/atom
**N(E_F)**: 3.3 states/eV/f.u.

---

5.
Crystalline V2IrPt at its relaxed geometry. Source: Alexandria, functional GGA-PBE.

abc: 3.783 3.861 3.861
angles: 90.00 90.00 90.00
Fractional positions:
Ir 0.500 0.500 0.500
Pt 0.500 0.000 0.000
V 0.000 0.000 0.500
V 0.000 0.500 0.000

Computed properties:
**DFT total energy**: -8.830 eV/atom
**N(E_F)**: 3.8 states/eV/f.u.

---

6.
Crystalline V2IrPt2 at its relaxed geometry. Source: Alexandria, functional GGA-PBE.

abc: 3.678 3.678 6.404
angles: 73.31 73.31 90.00
Fractional positions:
Pt 0.250 0.750 0.500
Pt 0.750 0.250 0.500
V 0.408 0.408 0.185
V 0.592 0.592 0.815
Ir 0.000 0.000 0.000

Computed properties:
**N(E_F)**: 6.4 states/eV/f.u.
**Polymorph energy (0 for the lowest one)**: 506 meV per atom